Entry 1:
The following is a DFT calculation (PBE) of an optimized crystal structure of Tm4Ga5Ge2.

Summary:
* density: 8.4 g cm⁻³
* space-group type: P2/m
* spin magnetization: 0.0 μB per formula unit
* energy of formation from the pure elements: -592 meV per atom
* DOS at the Fermi energy: 6.38 states/eV/cell
* volume: 231 Å³ per cell

abc: 4.191 6.957 7.934
angles: 91.79 90.00 90.00
Element x y z (fractional)
Tm (0.500, 0.757, 0.604)
Tm (0.500, 0.222, 0.867)
Tm (0.500, 0.243, 0.396)
Tm (0.500, 0.778, 0.133)
Ga (0.000, 0.540, 0.337)
Ga (0.000, 0.133, 0.120)
Ga (0.000, 0.500, 0.000)
Ga (0.000, 0.867, 0.880)
Ga (0.000, 0.460, 0.663)
Ge (0.000, 0.089, 0.635)
Ge (0.000, 0.911, 0.365)

Entry 2:
The following is a DFT calculation (PBE) of an optimized crystal structure of Tm2GaGe.

Summary:
* density: 8.3 g cm⁻³
* space-group type: R-3m
* spin magnetization: 0.0 μB per formula unit
* energy of formation from the pure elements: -499 meV per atom
* DOS at the Fermi energy: 2.65 states/eV/cell
* volume: 96 Å³ per cell

abc: 3.693 3.693 8.411
angles: 77.32 77.32 60.00
Element x y z (fractional)
Ge (0.000, 0.000, 0.000)
Tm (0.747, 0.747, 0.759)
Tm (0.253, 0.253, 0.241)
Ga (0.500, 0.500, 0.500)

Entry 3:
The following is a DFT calculation (PBE) of an optimized crystal structure of TmGaGe2.

Summary:
* density: 7.7 g cm⁻³
* space-group type: R-3m
* spin magnetization: 0.0 μB per formula unit
* excess energy over the best structure of this formula in the dataset: 0.198 eV/atom
* energy of formation from the pure elements: -231 meV per atom
* DOS at the Fermi energy: 1.85 states/eV/cell
* volume: 83 Å³ per cell

abc: 4.493 4.493 5.395
angles: 65.39 65.39 60.00
Element x y z (fractional)
Ge (0.279, 0.279, 0.162)
Ge (0.721, 0.721, 0.838)
Tm (0.500, 0.500, 0.500)
Ga (0.000, 0.000, 0.000)

Copy entry 3 word for word.
The following is a DFT calculation (PBE) of an optimized crystal structure of TmGaGe2.

Summary:
* density: 7.7 g cm⁻³
* space-group type: R-3m
* spin magnetization: 0.0 μB per formula unit
* excess energy over the best structure of this formula in the dataset: 0.198 eV/atom
* energy of formation from the pure elements: -231 meV per atom
* DOS at the Fermi energy: 1.85 states/eV/cell
* volume: 83 Å³ per cell

abc: 4.493 4.493 5.395
angles: 65.39 65.39 60.00
Element x y z (fractional)
Ge (0.279, 0.279, 0.162)
Ge (0.721, 0.721, 0.838)
Tm (0.500, 0.500, 0.500)
Ga (0.000, 0.000, 0.000)

Please write out number 2 again, unchanged.
The following is a DFT calculation (PBE) of an optimized crystal structure of Tm2GaGe.

Summary:
* density: 8.3 g cm⁻³
* space-group type: R-3m
* spin magnetization: 0.0 μB per formula unit
* energy of formation from the pure elements: -499 meV per atom
* DOS at the Fermi energy: 2.65 states/eV/cell
* volume: 96 Å³ per cell

abc: 3.693 3.693 8.411
angles: 77.32 77.32 60.00
Element x y z (fractional)
Ge (0.000, 0.000, 0.000)
Tm (0.747, 0.747, 0.759)
Tm (0.253, 0.253, 0.241)
Ga (0.500, 0.500, 0.500)

Question: The highest DOS at the Fermi energy belongs to which entry?
Answer: Tm4Ga5Ge2

Question: The lowest density belongs to which entry?
Answer: TmGaGe2